Record 1
Ca2SmPd | PBE-GGA | relaxed

Values from the calculation:
energy of formation from the pure elements: -0.08 eV/atom
excess energy over the best structure of this formula in the dataset: 305 meV per atom
N(E_F): 0.96 states/eV per atom
total DFT energy (no corrections): -3.563 eV per atom

Cell: 3.6978 3.6978 32.7968 Å, 90.00 90.00 120.00°
Space group R-3m (No. 166, hexagonal axes)
Unique sites:
Ca1 0.0000 0.0000 0.1090 x6
Sm1 0.0000 0.0000 0.0000 x3
Pd1 0.0000 0.0000 0.5000 x3

---

Record 2
Y2Be2ZnNi5 | PBE-GGA | relaxed

Values from the calculation:
energy of formation from the pure elements: -0.34 eV/atom
N(E_F): 0.40 states/eV per atom
total DFT energy (no corrections): -5.399 eV per atom

Cell: 9.022 9.022 3.356 Å, 90.00 90.00 90.00°
Space group P4/mbm (No. 127)
Unique sites:
Y1 0.183 0.317 0.000 x4
Be1 0.111 0.611 0.000 x4
Zn1 0.000 0.000 0.000 x2
Ni1 0.000 0.500 0.500 x2
Ni2 0.064 0.779 0.500 x8

---

Record 3
Mg2ZrNi9 | PBE-GGA | relaxed

Values from the calculation:
energy of formation from the pure elements: -0.26 eV/atom
N(E_F): 1.28 states/eV per atom
total DFT energy (no corrections): -5.573 eV per atom

Cell: 4.7820 4.7820 23.6163 Å, 90.00 90.00 120.00°
Space group R-3m (No. 166, hexagonal axes)
Unique sites:
Mg1 0.0000 0.0000 0.1430 x6
Zr1 0.0000 0.0000 0.0000 x3
Ni1 0.0000 0.0000 0.3338 x6
Ni2 0.0000 0.0000 0.5000 x3
Ni3 0.0023 0.5012 0.9162 x18

---

Record 4
Sc2NbV | PBE-GGA | relaxed

Values from the calculation:
energy of formation from the pure elements: 0.64 eV/atom
excess energy over the best structure of this formula in the dataset: 354 meV per atom
N(E_F): 1.29 states/eV per atom
total DFT energy (no corrections): -7.319 eV per atom

Cell: 7.487 7.487 5.739 Å, 90.00 90.00 90.00°
Space group I-42d (No. 122)
Unique sites:
Sc1 0.230 0.250 0.125 x8
Nb1 0.000 0.000 0.500 x4
V1 0.000 0.000 0.000 x4

---

Record 5
Ca2SnGe | PBE-GGA | relaxed

Values from the calculation:
energy of formation from the pure elements: -0.56 eV/atom
N(E_F): 0.54 states/eV per atom
total DFT energy (no corrections): -3.716 eV per atom

Cell: 3.425 3.425 8.825 Å, 90.00 90.00 90.00°
Space group P4/mmm (No. 123)
Unique sites:
Ca1 0.000 0.000 0.231 x2
Sn1 0.500 0.500 0.500 x1
Ge1 0.500 0.500 0.000 x1

---

Record 6
Pm2Ni5Ge4 | PBE-GGA | relaxed

Values from the calculation:
energy of formation from the pure elements: -0.54 eV/atom
N(E_F): 0.92 states/eV per atom
total DFT energy (no corrections): -5.713 eV per atom

Cell: 5.463 9.589 13.913 Å, 90.00 90.00 90.00°
Space group Fmmm (No. 69)
Unique sites:
Pm1 0.000 0.000 0.139 x8
Ni1 0.000 0.000 0.500 x4
Ni2 0.250 0.250 0.000 x8
Ni3 0.250 0.250 0.250 x8
Ge1 0.000 0.154 0.370 x16